1.
NdHF4 (PBE, optimized geometry); calculated density = 4.56 g/cm3; electronic total energy = -69.2 eV per cell
1.0
4.5107 0.0000 0.0000
0.0000 7.2303 0.0000
-0.9338 0.0000 4.9402
Nd H F
2 2 8
direct
0.1151 0.2500 0.1166
0.8849 0.7500 0.8834
0.4471 0.7500 0.3296
0.5529 0.2500 0.6704
0.1627 0.5637 0.2259
0.1627 0.9363 0.2259
0.3328 0.2500 0.6476
0.3614 0.7500 0.7798
0.6386 0.2500 0.2202
0.6672 0.7500 0.3524
0.8373 0.0637 0.7741
0.8373 0.4363 0.7741

2.
NdHF (PBE, optimized geometry); calculated density = 6.21 g/cm3; E above lowest polymorph = 0.0000 eV/atom
1.0
1.9536 1.1279 6.6414
-1.9536 1.1279 6.6414
0.0000 -2.2558 6.6414
Nd H F
2 2 2
direct
0.2404 0.2404 0.2404
0.7596 0.7596 0.7596
0.1233 0.1233 0.1233
0.8767 0.8767 0.8767
0.3699 0.3699 0.3699
0.6301 0.6301 0.6301

3.
Nd2HF (PBE, optimized geometry); calculated density = 5.66 g/cm3; electronic total energy = -59.6 eV per cell
1.0
3.7023 0.0000 0.0000
-1.8511 3.2063 0.0000
0.0000 0.0000 22.8856
Nd H F
6 3 3
direct
0.0000 0.0000 0.1002
0.0000 0.0000 0.8998
0.3333 0.6667 0.5664
0.3333 0.6667 0.7669
0.6667 0.3333 0.2331
0.6667 0.3333 0.4336
0.0000 0.0000 0.5000
0.3333 0.6667 0.1667
0.6667 0.3333 0.8333
0.0000 0.0000 0.0000
0.3333 0.6667 0.6667
0.6667 0.3333 0.3333

4.
NdHF (PBE, optimized geometry); calculated density = 6.63 g/cm3; E above lowest polymorph = 0.3607 eV/atom
1.0
3.3597 0.0000 0.0000
0.0000 3.3597 0.0000
0.0000 0.0000 7.2874
Nd H F
2 2 2
direct
0.0000 0.0000 0.0000
0.5000 0.5000 0.5000
0.0000 0.0000 0.3568
0.5000 0.5000 0.8568
0.0000 0.0000 0.6735
0.5000 0.5000 0.1735

5.
NdH2F (PBE, optimized geometry); calculated density = 5.41 g/cm3; electronic total energy = -17.6 eV per cell
1.0
3.3227 0.0000 0.0000
0.0000 3.3227 0.0000
0.0000 0.0000 4.5976
Nd H F
1 2 1
direct
0.0000 0.0000 0.0000
0.5000 0.5000 0.2157
0.5000 0.5000 0.7843
0.0000 0.0000 0.5000

6.
NdHF (PBE, optimized geometry); calculated density = 6.02 g/cm3; E above lowest polymorph = 0.1346 eV/atom
1.0
5.6589 0.0000 0.0000
0.0000 5.6589 0.0000
0.0000 0.0000 5.6589
Nd H F
4 4 4
direct
0.0000 0.0000 0.0000
0.0000 0.5000 0.5000
0.5000 0.0000 0.5000
0.5000 0.5000 0.0000
0.2500 0.2500 0.2500
0.2500 0.7500 0.7500
0.7500 0.2500 0.7500
0.7500 0.7500 0.2500
0.2500 0.2500 0.7500
0.2500 0.7500 0.2500
0.7500 0.2500 0.2500
0.7500 0.7500 0.7500

7.
NdH2F6 (PBE, optimized geometry); calculated density = 3.76 g/cm3; electronic total energy = -90.1 eV per cell
1.0
4.7134 -4.3727 0.0000
4.7134 4.3727 0.0000
-3.2200 0.0000 5.5795
Nd H F
2 4 12
direct
0.1449 0.8551 0.7500
0.8551 0.1449 0.2500
0.1315 0.4133 0.8351
0.4133 0.1315 0.3351
0.5867 0.8685 0.6649
0.8685 0.5867 0.1649
0.0613 0.1915 0.6737
0.1467 0.4689 0.4803
0.1836 0.5742 0.9430
0.1915 0.0613 0.1737
0.4258 0.8164 0.5570
0.4689 0.1467 0.9803
0.5311 0.8533 0.0197
0.5742 0.1836 0.4430
0.8085 0.9387 0.8263
0.8164 0.4258 0.0570
0.8533 0.5311 0.5197
0.9387 0.8085 0.3263